# 1
NbSn3Pd after structural relaxation. Source: the Alexandria database, functional PBE.

Cell lengths 5.143, 5.143, 5.143 Å; angles 90.00, 90.00, 90.00 degrees
Site moments in Bohr magnetons follow the coordinates.
Fractional coordinates of all 5 atoms:
Nb: 0.500 0.500 0.500  2.45
Sn: 0.000 0.500 0.000  0.00
Sn: 0.000 0.000 0.500  -0.03
Sn: 0.500 0.000 0.000  0.02
Pd: 0.000 0.000 0.000  0.02

formation enthalpy at 0 K = 0.69 eV/atom
total DFT energy (no corrections) = -23.81 eV per cell
density of states at the Fermi level = 3.9 states/eV/f.u.


# 2
RbHo2Sn3Te6 after structural relaxation. Source: the Alexandria database, functional PBE.

Cell lengths 4.406, 9.820, 10.067 Å; angles 98.69, 102.64, 90.00 degrees
Fractional coordinates of all 12 atoms:
Rb: 0.500 0.000 0.000
Ho: 0.827 0.663 0.654
Ho: 0.173 0.337 0.346
Sn: 0.500 0.500 0.000
Sn: 0.838 0.176 0.677
Sn: 0.162 0.824 0.323
Te: 0.314 0.880 0.629
Te: 0.666 0.565 0.332
Te: 0.686 0.120 0.371
Te: 0.019 0.283 0.039
Te: 0.981 0.717 0.961
Te: 0.334 0.435 0.668

total DFT energy (no corrections) = -49.59 eV per cell
density of states at the Fermi level = 4.7 states/eV/f.u.


# 3
YNi2Ir2 after structural relaxation. Source: the Alexandria database, functional PBE.

Cell lengths 3.870, 3.870, 6.043 Å; angles 71.32, 71.32, 90.00 degrees
Fractional coordinates of all 5 atoms:
Y: 0.000 0.000 0.000
Ni: 0.396 0.396 0.209
Ni: 0.604 0.604 0.791
Ir: 0.750 0.250 0.500
Ir: 0.250 0.750 0.500

formation enthalpy at 0 K = -0.22 eV/atom
total DFT energy (no corrections) = -36.83 eV per cell
density of states at the Fermi level = 7.6 states/eV/f.u.


# 4
Rb2AgCl5 after structural relaxation. Source: the Alexandria database, functional PBE.

Cell lengths 6.985, 6.985, 6.985 Å; angles 98.44, 115.25, 115.25 degrees
Fractional coordinates of all 8 atoms:
Rb: 0.500 0.237 0.737
Rb: 0.500 0.737 0.237
Ag: 0.000 0.007 0.007
Cl: 0.550 0.755 0.755
Cl: 0.000 0.755 0.206
Cl: 0.000 0.206 0.755
Cl: 0.450 0.206 0.206
Cl: 0.000 0.319 0.319

total DFT energy (no corrections) = -22.94 eV per cell


# 5
Ag2IF after structural relaxation. Source: the Alexandria database, functional PBE.

Cell lengths 3.568, 3.568, 6.597 Å; angles 90.00, 90.00, 90.00 degrees
Fractional coordinates of all 4 atoms:
I: 0.500 0.500 0.500
Ag: 0.000 0.000 0.786
Ag: 0.000 0.000 0.214
F: 0.500 0.500 0.000

total DFT energy (no corrections) = -10.37 eV per cell
density of states at the Fermi level = 0.8 states/eV/f.u.


# 6
TiCuSe2 after structural relaxation. Source: the Alexandria database, functional PBE.

Cell lengths 7.940, 7.940, 7.940 Å; angles 26.05, 26.05, 26.05 degrees
Fractional coordinates of all 4 atoms:
Cu: 0.000 0.000 0.000
Se: 0.900 0.900 0.900
Se: 0.100 0.100 0.100
Ti: 0.500 0.500 0.500

total DFT energy (no corrections) = -21.58 eV per cell
density of states at the Fermi level = 2.3 states/eV/f.u.


# 7
TlSiHg after structural relaxation. Source: the Alexandria database, functional PBE.

Cell lengths 4.455, 4.455, 4.687 Å; angles 90.00, 90.00, 120.00 degrees
Fractional coordinates of all 3 atoms:
Hg: 0.000 0.000 0.168
Si: 0.667 0.333 0.166
Tl: 0.333 0.667 0.666

total DFT energy (no corrections) = -7.04 eV per cell
density of states at the Fermi level = 0.7 states/eV/f.u.


# 8
K2In2Ge after structural relaxation. Source: the Alexandria database, functional PBE.

Cell lengths 7.557, 7.557, 5.942 Å; angles 90.00, 90.00, 90.00 degrees
Fractional coordinates of all 10 atoms:
Ge: 0.000 0.000 0.000
Ge: 0.500 0.500 0.000
K: 0.181 0.681 0.500
K: 0.681 0.819 0.500
K: 0.819 0.319 0.500
K: 0.319 0.181 0.500
In: 0.361 0.861 0.000
In: 0.861 0.639 0.000
In: 0.639 0.139 0.000
In: 0.139 0.361 0.000

formation enthalpy at 0 K = 0.00 eV/atom
total DFT energy (no corrections) = -24.62 eV per cell
density of states at the Fermi level = 4.6 states/eV/f.u.


# 9
MnCo3Pd after structural relaxation. Source: the Alexandria database, functional PBE.

Cell lengths 4.143, 4.143, 4.143 Å; angles 90.00, 90.00, 90.00 degrees
Site moments in Bohr magnetons follow the coordinates.
Fractional coordinates of all 5 atoms:
Mn: 0.000 0.000 0.000  -0.01
Co: 0.000 0.500 0.000  0.80
Co: 0.000 0.000 0.500  0.77
Co: 0.500 0.000 0.000  1.00
Pd: 0.500 0.500 0.500  0.15

formation enthalpy at 0 K = 1.10 eV/atom
total DFT energy (no corrections) = -30.17 eV per cell
density of states at the Fermi level = 11.9 states/eV/f.u.


# 10
BaTaPPd2 after structural relaxation. Source: the Alexandria database, functional PBE.

Cell lengths 4.788, 4.755, 4.788 Å; angles 90.00, 90.00, 90.00 degrees
Fractional coordinates of all 5 atoms:
P: 0.000 0.000 0.000
Ba: 0.500 0.500 0.500
Pd: 0.000 0.000 0.500
Pd: 0.500 0.000 0.000
Ta: 0.000 0.500 0.000

formation enthalpy at 0 K = -0.12 eV/atom
total DFT energy (no corrections) = -30.18 eV per cell
density of states at the Fermi level = 2.4 states/eV/f.u.


# 11
Ga2AgPd4 after structural relaxation. Source: the Alexandria database, functional PBE.

Cell lengths 6.201, 6.202, 7.541 Å; angles 107.80, 107.71, 105.00 degrees
Fractional coordinates of all 14 atoms:
Ga: 0.625 0.375 0.750
Ga: 0.625 0.875 0.250
Ga: 0.625 0.375 0.250
Ga: 0.125 0.375 0.750
Ag: 0.250 0.750 0.500
Ag: 0.000 0.000 0.000
Pd: 0.987 0.253 0.367
Pd: 0.263 0.497 0.133
Pd: 0.886 0.620 0.633
Pd: 0.747 0.013 0.634
Pd: 0.380 0.114 0.367
Pd: 0.364 0.130 0.867
Pd: 0.503 0.737 0.867
Pd: 0.870 0.635 0.133

formation enthalpy at 0 K = -0.25 eV/atom
total DFT energy (no corrections) = -62.90 eV per cell
density of states at the Fermi level = 2.7 states/eV/f.u.


# 12
DyTmScZn after structural relaxation. Source: the Alexandria database, functional PBE.

Cell lengths 5.182, 5.182, 5.182 Å; angles 60.00, 60.00, 60.00 degrees
Fractional coordinates of all 4 atoms:
Sc: 0.000 0.000 0.000
Zn: 0.500 0.500 0.500
Tm: 0.750 0.750 0.750
Dy: 0.250 0.250 0.250

formation enthalpy at 0 K = 0.00 eV/atom
total DFT energy (no corrections) = -16.69 eV per cell
density of states at the Fermi level = 4.0 states/eV/f.u.